(1)
AcSbAu | GGA-PBE | optimized geometry

a = 4.6529 Å, b = 8.1153 Å, c = 6.6745 Å
α = 51.32°, β = 110.39°, γ = 90.00°
Positions (direct):
Sb 0.8145 0.1623 0.6296
Sb 0.1855 0.8377 0.3704
Au 0.1483 0.3229 0.2972
Au 0.8517 0.6771 0.7028
Ac 0.5243 0.7233 0.0487
Ac 0.4757 0.2767 0.9513

Final energy = -28.33 eV/cell
Crystal system = monoclinic

=====

(2)
Y2CdCuSi | GGA-PBE | optimized geometry

a = 5.6156 Å, b = 4.6573 Å, c = 5.6156 Å
α = 90.00°, β = 90.00°, γ = 90.00°
Positions (direct):
Y 0.0000 0.0000 0.5000
Y 0.5000 0.0000 0.0000
Si 0.0000 0.5000 0.0000
Cu 0.5000 0.5000 0.5000
Cd 0.0000 0.0000 0.0000

Final energy = -19.79 eV/cell
Crystal system = tetragonal

=====

(3)
YTi2TlPb | GGA-PBE | optimized geometry

a = 5.1920 Å, b = 5.1920 Å, c = 5.7019 Å
α = 90.00°, β = 90.00°, γ = 90.00°
Each line ends with the local moment (μB).
Positions (direct):
Pb 0.0000 0.0000 0.0000  -0.04
Y 0.0000 0.0000 0.5000  -0.02
Tl 0.5000 0.5000 0.5000  -0.06
Ti 0.0000 0.5000 0.0000  0.96
Ti 0.5000 0.0000 0.0000  0.96

Energy of formation from the pure elements = 365 kJ/mol of formula units
Crystal system = tetragonal

=====

(4)
Sm2AlCu4Si3 | GGA-PBE | optimized geometry

a = 4.0444 Å, b = 4.0444 Å, c = 10.1304 Å
α = 90.00°, β = 90.00°, γ = 90.00°
Positions (direct):
Sm 0.5000 0.0000 0.2417
Sm 0.0000 0.5000 0.7583
Al 0.5000 0.5000 0.5000
Cu 0.5000 0.5000 0.0000
Cu 0.0000 0.0000 0.0000
Cu 0.5000 0.0000 0.6372
Cu 0.0000 0.5000 0.3628
Si 0.0000 0.0000 0.5000
Si 0.5000 0.0000 0.8707
Si 0.0000 0.5000 0.1293

Final energy = -51.38 eV/cell
Crystal system = tetragonal

=====

(5)
Pm5Ni | GGA-PBE | optimized geometry

a = 5.7112 Å, b = 3.7116 Å, c = 8.6745 Å
α = 102.35°, β = 90.00°, γ = 90.00°
Positions (direct):
Ni 0.0000 0.0000 0.0000
Pm 0.5000 0.8323 0.6645
Pm 0.0000 0.6323 0.2647
Pm 0.5000 0.5000 0.0000
Pm 0.0000 0.3677 0.7353
Pm 0.5000 0.1677 0.3355

Energy of formation from the pure elements = 53 kJ/mol of formula units
Crystal system = orthorhombic

=====

(6)
AcLa2Tb2Y2 | GGA-PBE | optimized geometry

a = 5.2312 Å, b = 6.4013 Å, c = 8.1778 Å
α = 97.81°, β = 90.00°, γ = 114.12°
Positions (direct):
Ac 0.0000 0.0000 0.0000
La 0.7152 0.4305 0.1475
La 0.2848 0.5695 0.8525
Tb 0.5736 0.1473 0.7048
Tb 0.4264 0.8527 0.2952
Y 0.1419 0.2837 0.4319
Y 0.8581 0.7163 0.5681

Energy of formation from the pure elements = 28 kJ/mol of formula units
Crystal system = monoclinic

=====

no.,DOS at the Fermi energy (states/eV per atom),mass density (g cm⁻³)
1,0.30,10.295
2,0.91,4.317
3,1.17,6.441
4,0.39,6.675
5,1.69,7.245
6,1.71,6.722